Record 1
This record from the Alexandria database describes a relaxed structure of La3AlSn. The functional is GGA-PBE.

a b c (Å): 8.683 8.683 8.940
angles (deg): 95.62 95.62 29.08
Sites, in units of the cell vectors:
La: 0.046 0.046 0.178
La: 0.237 0.237 0.815
La: 0.405 0.405 0.445
La: 0.595 0.595 0.555
La: 0.763 0.763 0.185
La: 0.954 0.954 0.822
Al: 0.214 0.214 0.432
Al: 0.786 0.786 0.568
Sn: 0.395 0.395 0.075
Sn: 0.605 0.605 0.925

relative energy among the computed polymorphs	0.000	eV per atom
SG	C2/m (12)

=====

Record 2
This record from the Alexandria database describes a relaxed structure of La3Al2Sn3. The functional is GGA-PBE.

a b c (Å): 6.292 6.292 15.805
angles (deg): 90.00 90.00 134.28
Sites, in units of the cell vectors:
La: 0.073 0.927 0.750
La: 0.150 0.850 0.037
La: 0.150 0.850 0.463
La: 0.850 0.150 0.537
La: 0.850 0.150 0.963
La: 0.927 0.073 0.250
Al: 0.344 0.656 0.665
Al: 0.344 0.656 0.835
Al: 0.656 0.344 0.165
Al: 0.656 0.344 0.335
Sn: 0.215 0.785 0.250
Sn: 0.442 0.558 0.089
Sn: 0.442 0.558 0.411
Sn: 0.558 0.442 0.589
Sn: 0.558 0.442 0.911
Sn: 0.785 0.215 0.750

relative energy among the computed polymorphs	0.084	eV per atom
SG	Cmcm (63)

=====

Record 3
This record from the Alexandria database describes a relaxed structure of La6AlSn. The functional is GGA-PBE.

a b c (Å): 5.006 5.006 10.008
angles (deg): 90.00 90.00 90.00
Sites, in units of the cell vectors:
La: 0.000 0.000 0.000
La: 0.000 0.000 0.500
La: 0.000 0.500 0.247
La: 0.000 0.500 0.753
La: 0.500 0.000 0.247
La: 0.500 0.000 0.753
Al: 0.500 0.500 0.000
Sn: 0.500 0.500 0.500

SG	P4/mmm (123)

=====

Record 4
This record from the Alexandria database describes a relaxed structure of La5Al2Sn2. The functional is GGA-PBE.

a b c (Å): 9.271 9.271 8.406
angles (deg): 90.00 90.00 54.12
Sites, in units of the cell vectors:
La: 0.000 0.000 0.000
La: 0.040 0.681 0.675
La: 0.181 0.540 0.175
La: 0.319 0.960 0.675
La: 0.460 0.819 0.175
La: 0.500 0.500 0.500
La: 0.540 0.181 0.825
La: 0.681 0.040 0.325
La: 0.819 0.460 0.825
La: 0.960 0.319 0.325
Al: 0.111 0.889 0.387
Al: 0.389 0.611 0.887
Al: 0.611 0.389 0.113
Al: 0.889 0.111 0.613
Sn: 0.207 0.207 0.000
Sn: 0.293 0.293 0.500
Sn: 0.707 0.707 0.500
Sn: 0.793 0.793 0.000

SG	Cmce (64)

=====

Record 5
This record from the Alexandria database describes a relaxed structure of La2AlSn. The functional is GGA-PBE.

a b c (Å): 6.416 4.365 9.279
angles (deg): 90.00 108.30 90.00
Sites, in units of the cell vectors:
La: 0.204 0.250 0.425
La: 0.282 0.750 0.066
La: 0.718 0.250 0.934
La: 0.796 0.750 0.575
Al: 0.141 0.250 0.786
Al: 0.859 0.750 0.214
Sn: 0.364 0.750 0.712
Sn: 0.636 0.250 0.288

SG	P2_1/m (11)

=====

Record 6
This record from the Alexandria database describes a relaxed structure of La2AlSn2. The functional is GGA-PBE.

a b c (Å): 7.650 7.650 4.911
angles (deg): 90.00 90.00 90.00
Sites, in units of the cell vectors:
La: 0.174 0.326 0.000
La: 0.326 0.826 0.000
La: 0.674 0.174 0.000
La: 0.826 0.674 0.000
Al: 0.000 0.000 0.500
Al: 0.500 0.500 0.500
Sn: 0.135 0.635 0.500
Sn: 0.365 0.135 0.500
Sn: 0.635 0.865 0.500
Sn: 0.865 0.365 0.500

relative energy among the computed polymorphs	0.049	eV per atom
SG	P4/mbm (127)

=====

ΔE_f for the records above, in order: -2.3; -4.4; -2.7; -4.6; -2.5; -3.1 eV per formula unit
E_tot for the records above, in order: -49.63; -77.35; -40.03; -89.47; -40.15; -49.36 eV/cell
Magnetization for the records above, in order: 1.723; 0.000; 0.000; 0.000; 0.633; 0.000 μB per cell